The following is a DFT calculation (PBE) of Cs2BS after structural relaxation.

Values from the calculation:
- Offset from the most stable computed form: 116 meV per atom
- Energy relative to the elements, uncorrected: 0.753 eV/atom

Cell lengths 9.4343, 9.4343, 7.2427 Å; angles 90.00, 90.00, 90.00 degrees
Space group I-42d (No. 122)
Inequivalent atoms, fractional coordinates:
Cs1 0.2270 0.2500 0.1250 x8
B1 0.0000 0.0000 0.5000 x4
S1 0.0000 0.0000 0.0000 x4


The following is a DFT calculation (PBE) of CsBSbS4 after structural relaxation.

Values from the calculation:
- Energy relative to the elements, uncorrected: -0.504 eV/atom

Cell lengths 6.0018, 6.6282, 9.2223 Å; angles 90.00, 105.31, 90.00 degrees
Space group P2_1/m (No. 11)
Inequivalent atoms, fractional coordinates:
Cs1 0.2343 0.2500 0.4299 x2
B1 0.1363 0.2500 0.8478 x2
Sb1 0.3101 0.7500 0.0348 x2
S1 0.1269 0.2500 0.0532 x2
S2 0.1728 0.7500 0.2796 x2
S3 0.3123 0.0198 0.8066 x4


In Mg/m³, the theoretical density values for the records above are, in order, 3.2; 3.7.
In μB/cell, the spin magnetization values for the records above are, in order, 3.96; 0.00.